{
  "formula": "K2MoPd2O6",
  "functional": "GGA+U",
  "state": "optimized geometry",
  "energy_ev_per_atom": -5.576,
  "space_group": "C2/m (12)",
  "total_magnetization_mub_per_cell": 0.00,
  "lattice": [[-2.772, -1.010, -4.671], [5.356, -1.201, -0.630], [-2.226, -4.739, 4.253]],
  "species": ["K", "K", "Mo", "Pd", "Pd", "O", "O", "O", "O", "O", "O"],
  "fractional_positions": [[0.815, 0.185, 0.000], [0.185, 0.815, 0.000], [0.000, 0.000, 0.500], [0.332, 0.668, 0.500], [0.668, 0.332, 0.500], [0.752, 0.752, 0.644], [0.019, 0.329, 0.693], [0.248, 0.248, 0.356], [0.329, 0.019, 0.693], [0.981, 0.671, 0.307], [0.671, 0.981, 0.307]]
}